Record 1
# FeSb2Ru (meta-GGA SCAN, PBEsol geometry)
# Final energy = -31.57 eV per atom
# Magnetization = 1.7 μB per formula unit
# E_form (uncorrected) = 0.30 eV/atom
# Energy above the most stable polymorph in this dataset = 0.171 eV/atom
data_FeSb2Ru
_chemical_formula_sum 'Fe1 Sb2 Ru1'
_cell_length_a 3.1779
_cell_length_b 3.1779
_cell_length_c 6.3882
_cell_angle_alpha 90.00
_cell_angle_beta 90.00
_cell_angle_gamma 90.00
_space_group_name_H-M_alt 'P 4/m m m'
_space_group_IT_number 123
_space_group_name_Hall '-P 4 2'
loop_
_atom_site_label
_atom_site_fract_x
_atom_site_fract_y
_atom_site_fract_z
Fe1 0.0000 0.0000 0.0000
Sb1 0.5000 0.5000 0.2410
Ru1 0.0000 0.0000 0.5000

Record 2
# ScFe2Ru (meta-GGA SCAN, PBEsol geometry)
# Final energy = -21.38 eV per atom
# Magnetization = 4.9 μB per formula unit
# Calculated formation energy = -0.054 eV/atom
data_ScFe2Ru
_chemical_formula_sum 'Sc2 Fe4 Ru2'
_cell_length_a 2.9982
_cell_length_b 4.2479
_cell_length_c 8.4674
_cell_angle_alpha 90.00
_cell_angle_beta 90.00
_cell_angle_gamma 90.00
_space_group_name_H-M_alt 'I m m 2'
_space_group_IT_number 44
_space_group_name_Hall 'I 2 -2'
loop_
_atom_site_label
_atom_site_fract_x
_atom_site_fract_y
_atom_site_fract_z
Sc1 0.0000 0.0000 0.0000
Fe1 0.0000 0.0000 0.4947
Fe2 0.0000 0.5000 0.7675
Ru1 0.0000 0.5000 0.2345